VASP calculation (PBE-GGA) on a relaxed Ac2NdNi6 crystal.

Cell: 4.1436 7.1020 7.1020 Å, 120.00 90.00 90.00°
With the nearest neighbours (Å) after each atom.
Fractional coordinates of all 9 atoms:
Ac  0.0000  0.6667  0.3333  12 Ni 3.15
Ni  0.5000  0.0000  0.6695  3 Ni 2.35-2.41
Ni  0.5000  0.3305  0.3305  3 Ni 2.35-2.41
Ni  0.5000  0.3305  0.0000  3 Ni 2.35-2.41
Nd  0.0000  0.0000  0.0000  12 Ni 3.13
Ni  0.5000  0.0000  0.3305  3 Ni 2.35-2.41
Ni  0.5000  0.6695  0.0000  3 Ni 2.35-2.41
Ni  0.5000  0.6695  0.6695  3 Ni 2.35-2.41
Ac  0.0000  0.3333  0.6667  12 Ni 3.15

Calculated values
total magnetic moment	0.513	μB per cell
D(E_F)	10.78	states/eV/f.u.
E_form	-0.2783	eV per atom